1.
# LiPa2Hg3Te6 PBE-GGA relaxed
# * volume: 35.36 A^3/atom
# * formation energy from raw total energies: -0.509 eV per atom
# * total magnetic moment: 0.000 μB/atom
data_LiPa2Hg3Te6
_cell_length_a 7.738
_cell_length_b 12.642
_cell_length_c 8.873
_cell_angle_alpha 90.00
_cell_angle_beta 102.08
_cell_angle_gamma 90.00
_symmetry_space_group_name_H-M 'C 1 2/m 1'
_symmetry_Int_Tables_number 12
loop_
_symmetry_equiv_pos_as_xyz
'x,y,z'
'-x,-y,-z'
'-x,y,-z'
'x,-y,z'
'x+1/2,y+1/2,z'
'-x+1/2,-y+1/2,-z'
'-x+1/2,y+1/2,-z'
'x+1/2,-y+1/2,z'
loop_
_atom_site_label
_atom_site_fract_x
_atom_site_fract_y
_atom_site_fract_z
Li1 0.000 0.000 0.000
Pa1 0.000 0.329 0.000
Hg1 0.000 0.164 0.500
Hg2 0.000 0.500 0.500
Te1 0.180 0.500 0.220
Te2 0.224 0.167 0.195

2.
# NaP2IrCl PBE-GGA relaxed
# * volume: 37.30 A^3/atom
# * ΔE to the lowest computed polymorph: 0 meV per atom
# * formation energy from raw total energies: -0.149 eV per atom
# * total magnetic moment: 0.000 μB/atom
data_NaP2IrCl
_cell_length_a 4.398
_cell_length_b 4.398
_cell_length_c 9.645
_cell_angle_alpha 90.00
_cell_angle_beta 90.00
_cell_angle_gamma 90.00
_symmetry_space_group_name_H-M 'P 4/m m m'
_symmetry_Int_Tables_number 123
_symmetry_space_group_name_Hall '-P 4 2'
loop_
_atom_site_label
_atom_site_fract_x
_atom_site_fract_y
_atom_site_fract_z
Na1 0.000 0.000 0.000
P1 0.000 0.500 0.500
Ir1 0.500 0.500 0.500
Cl1 0.500 0.500 0.000